Nd2CdGa2: relaxed, PBE.

Calculated values
* calculated density: 7.080 g/cm3
* space group: Cmmm
* energy relative to the elements: -0.5303 eV/atom
* DOS at the Fermi energy: 4.5 states/eV per cell
* final energy: -0.1408 hartree per atom

Cell lengths 4.3313, 4.1881, 7.2932 Å; angles 106.69, 90.00, 90.00 degrees
Last column: nearest neighbours and their distance in Å.
Atoms (fractional coordinates):
1 Nd 0.5000 0.6327 0.2654  6 Ga 3.15-3.20
2 Nd 0.5000 0.3673 0.7346  6 Ga 3.15-3.20
3 Cd 0.0000 0.0000 0.0000  2 Ga 2.77
4 Ga 0.0000 0.1984 0.3969  2 Ga 2.54, 1 Cd 2.77
5 Ga 0.0000 0.8016 0.6031  2 Ga 2.54, 1 Cd 2.77

---

NdCd11Ga: relaxed, PBE.

Calculated values
* calculated density: 8.182 g/cm3
* space group: C2/m
* energy relative to the elements: -0.0996 eV/atom
* DOS at the Fermi energy: 3.6 states/eV per cell
* final energy: -0.0542 hartree per atom

Cell lengths 5.9048, 7.6041, 7.6830 Å; angles 81.56, 67.40, 67.56 degrees
Last column: nearest neighbours and their distance in Å.
Atoms (fractional coordinates):
1 Nd 0.0000 0.0000 0.0000  18 Cd 3.52-3.84, 2 Ga 3.82
2 Cd 0.2889 0.2138 0.2106  1 Ga 2.90, 7 Cd 2.92-3.23
3 Cd 0.7111 0.7862 0.7894  1 Ga 2.90, 7 Cd 2.92-3.23
4 Cd 0.5005 0.7862 0.2106  1 Ga 2.90, 7 Cd 2.92-3.23
5 Cd 0.4995 0.2138 0.7894  1 Ga 2.90, 7 Cd 2.92-3.23
6 Cd 0.3559 0.6459 0.6499  8 Cd 2.95-3.30, 1 Ga 3.06
7 Cd 0.6441 0.3541 0.3501  8 Cd 2.95-3.30, 1 Ga 3.06
8 Cd 0.9942 0.3541 0.6499  8 Cd 2.95-3.30, 1 Ga 3.06
9 Cd 0.0058 0.6459 0.3501  8 Cd 2.95-3.30, 1 Ga 3.06
10 Cd 0.0000 0.5000 0.0000  8 Cd 2.92-3.07, 2 Ga 2.95
11 Cd 0.5000 0.0000 0.5000  10 Cd 2.94-3.10
12 Cd 0.0000 0.0000 0.5000  10 Cd 2.94-3.10
13 Ga 0.5000 0.5000 0.0000  10 Cd 2.90-3.06

---

Nd6CdGa5: relaxed, PBE.

Calculated values
* calculated density: 7.087 g/cm3
* space group: P2/m
* energy relative to the elements: -0.5141 eV/atom
* DOS at the Fermi energy: 8.7 states/eV per cell
* final energy: -0.1557 hartree per atom

Cell lengths 5.2766, 7.4422, 8.3489 Å; angles 90.00, 71.44, 90.00 degrees
Last column: nearest neighbours and their distance in Å.
Atoms (fractional coordinates):
1 Nd 0.8300 0.7483 0.3398  7 Ga 3.20-3.27, 1 Cd 3.28
2 Nd 0.8300 0.2517 0.3398  7 Ga 3.20-3.27, 1 Cd 3.28
3 Nd 0.5000 0.2563 0.0000  6 Ga 3.18-3.20, 2 Cd 3.26
4 Nd 0.5000 0.7437 0.0000  6 Ga 3.18-3.20, 2 Cd 3.26
5 Nd 0.1700 0.7483 0.6602  7 Ga 3.20-3.27, 1 Cd 3.28
6 Nd 0.1700 0.2517 0.6602  7 Ga 3.20-3.27, 1 Cd 3.28
7 Ga 0.6651 0.5000 0.6692  8 Nd 3.18-3.22
8 Ga 0.3394 0.0000 0.3216  8 Nd 3.18-3.27
9 Ga 0.0000 0.5000 0.0000  8 Nd 3.20-3.26
10 Ga 0.6606 0.0000 0.6784  8 Nd 3.18-3.27
11 Ga 0.3349 0.5000 0.3308  8 Nd 3.18-3.22
12 Cd 0.0000 0.0000 0.0000  8 Nd 3.26-3.28

---

Nd2Cd3Ga: relaxed, PBE.

Calculated values
* calculated density: 7.594 g/cm3
* space group: Pmm2
* energy relative to the elements: -0.3988 eV/atom
* DOS at the Fermi energy: 5.4 states/eV per cell
* final energy: -0.1084 hartree per atom

Cell lengths 3.6574, 4.9087, 8.4705 Å; angles 90.00, 90.00, 90.00 degrees
Last column: nearest neighbours and their distance in Å.
Atoms (fractional coordinates):
1 Nd 0.0000 0.5000 0.0130  2 Ga 3.29, 10 Cd 3.33-3.48, 2 Nd 3.66
2 Nd 0.0000 0.0000 0.4887  8 Cd 3.27-3.42, 4 Ga 3.32, 2 Nd 3.66
3 Cd 0.5000 0.0000 0.8305  3 Cd 2.83-2.86
4 Cd 0.5000 0.0000 0.1682  2 Ga 2.84, 1 Cd 2.86
5 Cd 0.5000 0.5000 0.6636  1 Ga 2.78, 2 Cd 2.83
6 Ga 0.5000 0.5000 0.3360  3 Cd 2.78-2.84

---

NdCd2Ga: relaxed, PBE.

Calculated values
* calculated density: 7.006 g/cm3
* space group: R-3m
* energy relative to the elements: 0.1738 eV/atom
* DOS at the Fermi energy: 3.8 states/eV per cell
* final energy: -0.0820 hartree per atom

Cell lengths 3.2805, 3.2805, 11.3189 Å; angles 81.67, 81.67, 60.00 degrees
Last column: nearest neighbours and their distance in Å.
Atoms (fractional coordinates):
1 Nd 0.0000 0.0000 0.0000  2 Cd 3.22, 6 Nd 3.28
2 Ga 0.5000 0.5000 0.5000  6 Cd 3.03, 6 Ga 3.28
3 Cd 0.0962 0.0962 0.7115  3 Ga 3.03, 1 Nd 3.22, 6 Cd 3.28
4 Cd 0.9038 0.9038 0.2885  3 Ga 3.03, 1 Nd 3.22, 6 Cd 3.28

---

Nd2CdGa: relaxed, PBE.

Calculated values
* calculated density: 7.276 g/cm3
* space group: P4/mmm
* energy relative to the elements: -0.4401 eV/atom
* DOS at the Fermi energy: 2.8 states/eV per cell
* final energy: -0.1400 hartree per atom

Cell lengths 3.6691, 3.6691, 7.9780 Å; angles 90.00, 90.00, 90.00 degrees
Last column: nearest neighbours and their distance in Å.
Atoms (fractional coordinates):
1 Nd 0.0000 0.0000 0.7672  4 Ga 3.19, 4 Cd 3.36
2 Nd 0.0000 0.0000 0.2328  4 Ga 3.19, 4 Cd 3.36
3 Ga 0.5000 0.5000 0.0000  8 Nd 3.19
4 Cd 0.5000 0.5000 0.5000  8 Nd 3.36, 4 Cd 3.67

---

Nd2CdGa3Ni4: relaxed, PBE.

Calculated values
* calculated density: 7.833 g/cm3
* space group: P-4m2
* energy relative to the elements: -0.4473 eV/atom
* DOS at the Fermi energy: 7.8 states/eV per cell
* final energy: -0.1732 hartree per atom

Cell lengths 4.2176, 4.2176, 10.0687 Å; angles 90.00, 90.00, 90.00 degrees
Last column: nearest neighbours and their distance in Å.
Atoms (fractional coordinates):
1 Nd 0.5000 0.0000 0.2358  8 Ni 3.18-3.20, 7 Ga 3.22-3.54, 2 Cd 3.39
2 Nd 0.0000 0.5000 0.7642  8 Ni 3.18-3.20, 7 Ga 3.22-3.54, 2 Cd 3.39
3 Cd 0.5000 0.5000 0.5000  4 Ni 2.58
4 Ga 0.0000 0.0000 0.5000  4 Ni 2.58
5 Ga 0.5000 0.0000 0.8841  5 Ni 2.38-2.41
6 Ga 0.0000 0.5000 0.1159  5 Ni 2.38-2.41
7 Ni 0.5000 0.5000 0.0000  4 Ga 2.41
8 Ni 0.0000 0.0000 0.0000  4 Ga 2.41
9 Ni 0.5000 0.0000 0.6477  3 Ga 2.38-2.58, 2 Cd 2.58
10 Ni 0.0000 0.5000 0.3523  3 Ga 2.38-2.58, 2 Cd 2.58

---

NdCdGaO4: relaxed, PBE.

Calculated values
* calculated density: 6.141 g/cm3
* space group: Cmcm
* energy relative to the elements, uncorrected: -2.130 eV/atom
* final energy: -0.2281 hartree per atom

Cell lengths 5.7306, 5.7306, 7.0877 Å; angles 90.00, 90.00, 114.90 degrees
Last column: nearest neighbours and their distance in Å.
Atoms (fractional coordinates):
1 Nd 0.5000 0.5000 0.5000  6 O 2.36-2.41
2 Nd 0.5000 0.5000 0.0000  6 O 2.36-2.41
3 Cd 0.8305 0.1695 0.2500  4 O 2.20-2.35
4 Cd 0.1695 0.8305 0.7500  4 O 2.20-2.35
5 Ga 0.1477 0.8523 0.2500  4 O 1.85-1.91
6 Ga 0.8523 0.1477 0.7500  4 O 1.85-1.91
7 O 0.2168 0.2585 0.7500  1 Ga 1.91
8 O 0.7415 0.7832 0.7500  1 Ga 1.91
9 O 0.7426 0.2574 0.9643  1 Ga 1.85
10 O 0.7426 0.2574 0.5357  1 Ga 1.85
11 O 0.2574 0.7426 0.0357  1 Ga 1.85
12 O 0.2574 0.7426 0.4643  1 Ga 1.85
13 O 0.7832 0.7415 0.2500  1 Ga 1.91
14 O 0.2585 0.2168 0.2500  1 Ga 1.91

---

Nd2CdGa4Pd3: relaxed, PBE.

Calculated values
* calculated density: 8.243 g/cm3
* space group: P-4m2
* energy relative to the elements: -0.6975 eV/atom
* DOS at the Fermi energy: 6.5 states/eV per cell
* final energy: -0.1658 hartree per atom

Cell lengths 4.3102, 4.3102, 10.8336 Å; angles 90.00, 90.00, 90.00 degrees
Last column: nearest neighbours and their distance in Å.
Atoms (fractional coordinates):
1 Nd 0.5000 0.0000 0.2362  6 Pd 3.27-3.58, 8 Ga 3.31-3.35, 2 Cd 3.58
2 Nd 0.0000 0.5000 0.7638  6 Pd 3.27-3.58, 8 Ga 3.31-3.35, 2 Cd 3.58
3 Cd 0.5000 0.5000 0.5000  4 Ga 2.67
4 Ga 0.5000 0.5000 0.0000  4 Pd 2.56
5 Ga 0.0000 0.0000 0.0000  4 Pd 2.56
6 Ga 0.5000 0.0000 0.6454  3 Pd 2.47-2.67, 2 Cd 2.67
7 Ga 0.0000 0.5000 0.3546  3 Pd 2.47-2.67, 2 Cd 2.67
8 Pd 0.0000 0.0000 0.5000  4 Ga 2.67
9 Pd 0.5000 0.0000 0.8733  5 Ga 2.47-2.56
10 Pd 0.0000 0.5000 0.1267  5 Ga 2.47-2.56

---

NdCdGaPd: relaxed, PBE.

Calculated values
* calculated density: 8.487 g/cm3
* space group: F-43m
* energy relative to the elements: -0.5365 eV/atom
* DOS at the Fermi energy: 1.4 states/eV per cell
* final energy: -0.1474 hartree per atom

Cell lengths 4.9291, 4.9291, 4.9291 Å; angles 60.00, 60.00, 60.00 degrees
Last column: nearest neighbours and their distance in Å.
Atoms (fractional coordinates):
1 Nd 0.2500 0.2500 0.2500  4 Ga 3.02, 4 Pd 3.02
2 Ga 0.5000 0.5000 0.5000  4 Cd 3.02, 4 Nd 3.02
3 Pd 0.0000 0.0000 0.0000  4 Cd 3.02, 4 Nd 3.02
4 Cd 0.7500 0.7500 0.7500  4 Pd 3.02, 4 Ga 3.02

---

NdCd2GaPd4: relaxed, PBE.

Calculated values
* calculated density: 9.677 g/cm3
* space group: R-3m
* energy relative to the elements: -0.5448 eV/atom
* DOS at the Fermi energy: 4.1 states/eV per cell
* final energy: -0.1597 hartree per atom

Cell lengths 4.7029, 4.7029, 8.2068 Å; angles 73.35, 73.35, 60.00 degrees
Last column: nearest neighbours and their distance in Å.
Atoms (fractional coordinates):
1 Nd 0.0000 0.0000 0.0000  8 Pd 3.04, 6 Cd 3.32
2 Cd 0.7492 0.7492 0.7523  7 Pd 2.77-2.94
3 Cd 0.2508 0.2508 0.2477  7 Pd 2.77-2.94
4 Ga 0.5000 0.5000 0.5000  2 Pd 2.50
5 Pd 0.3924 0.3924 0.8229  1 Ga 2.50, 3 Cd 2.77
6 Pd 0.8690 0.8690 0.3929  4 Cd 2.78-2.94, 3 Ga 2.84, 1 Nd 3.04
7 Pd 0.1310 0.1310 0.6071  4 Cd 2.78-2.94, 3 Ga 2.84, 1 Nd 3.04
8 Pd 0.6076 0.6076 0.1771  1 Ga 2.50, 3 Cd 2.77

---

NdCdGa2Pd5: relaxed, PBE.

Calculated values
* calculated density: 9.322 g/cm3
* space group: P4/mmm
* energy relative to the elements: -0.5622 eV/atom
* DOS at the Fermi energy: 2.4 states/eV per cell
* final energy: -0.1746 hartree per atom

Cell lengths 4.2044, 4.2044, 9.3533 Å; angles 90.00, 90.00, 90.00 degrees
Last column: nearest neighbours and their distance in Å.
Atoms (fractional coordinates):
1 Nd 0.0000 0.0000 0.5000  12 Pd 2.97-3.00
2 Cd 0.0000 0.0000 0.0000  8 Ga 3.21, 8 Pd 3.30
3 Ga 0.5000 0.5000 0.1305  1 Ga 2.44, 4 Pd 2.48
4 Ga 0.5000 0.5000 0.8695  1 Ga 2.44, 4 Pd 2.48
5 Pd 0.0000 0.5000 0.2716  2 Ga 2.48
6 Pd 0.5000 0.0000 0.2716  2 Ga 2.48
7 Pd 0.0000 0.5000 0.7284  2 Ga 2.48
8 Pd 0.5000 0.0000 0.7284  2 Ga 2.48
9 Pd 0.5000 0.5000 0.5000  4 Nd 2.97, 8 Pd 3.00

---

NdCd2GaPd2: relaxed, PBE.

Calculated values
* calculated density: 7.314 g/cm3
* space group: I4/mmm
* energy relative to the elements: -0.2349 eV/atom
* DOS at the Fermi energy: 3.0 states/eV per cell
* final energy: -0.1312 hartree per atom

Cell lengths 5.3033, 5.3033, 6.4602 Å; angles 114.23, 114.23, 90.00 degrees
Last column: nearest neighbours and their distance in Å.
Atoms (fractional coordinates):
1 Nd 0.5000 0.5000 0.0000  2 Pd 2.88
2 Cd 0.2500 0.7500 0.5000  4 Pd 2.66
3 Cd 0.7500 0.2500 0.5000  4 Pd 2.66
4 Ga 0.0000 0.0000 0.0000  2 Pd 2.39
5 Pd 0.7733 0.7733 0.5466  1 Ga 2.39, 4 Cd 2.66
6 Pd 0.2267 0.2267 0.4534  1 Ga 2.39, 4 Cd 2.66